Material: RbTl4Pt2
Method: DFT, PBE
State: optimized geometry

```
data_RbTl4Pt2
_cell_length_a 19.9110
_cell_length_b 4.5401
_cell_length_c 8.5188
_cell_angle_alpha 90.00
_cell_angle_beta 90.00
_cell_angle_gamma 90.00
_space_group_name_H-M_alt 'P n m a'
_space_group_IT_number 62
loop_
_space_group_symop_operation_xyz
'x,y,z'
'-x,-y,-z'
'-x+1/2,-y,z+1/2'
'x+1/2,y,-z+1/2'
'x+1/2,-y+1/2,-z+1/2'
'-x+1/2,y+1/2,z+1/2'
'-x,y+1/2,-z'
'x,-y+1/2,z'
loop_
_atom_site_label
_atom_site_fract_x
_atom_site_fract_y
_atom_site_fract_z
Rb1 0.1312 0.2500 0.0307
Tl1 0.0286 0.7500 0.7919
Tl2 0.0812 0.2500 0.5135
Tl3 0.1889 0.7500 0.3295
Tl4 0.1950 0.7500 0.7363
Pt1 0.0448 0.7500 0.3193
Pt2 0.2246 0.2500 0.5357
```

**Crystal system**: orthorhombic
**Calculated formation energy**: -114.5 meV/atom
**N(E_F)**: 13.754 states/eV/cell

***

Material: RbTl4Pt2
Method: DFT, PBE
State: optimized geometry

```
data_RbTl4Pt2
_cell_length_a 4.9986
_cell_length_b 16.1383
_cell_length_c 4.8782
_cell_angle_alpha 90.00
_cell_angle_beta 90.00
_cell_angle_gamma 90.00
_space_group_name_H-M_alt 'C m m m'
_space_group_IT_number 65
_space_group_name_Hall '-C 2 2'
loop_
_atom_site_label
_atom_site_fract_x
_atom_site_fract_y
_atom_site_fract_z
Rb1 0.0000 0.0000 0.0000
Tl1 0.0000 0.1692 0.5000
Tl2 0.0000 0.3256 0.0000
Pt1 0.0000 0.4194 0.5000
```

**Crystal system**: orthorhombic
**Calculated formation energy**: -49.8 meV/atom
**N(E_F)**: 5.247 states/eV/cell

***

Material: RbTl4Pt
Method: DFT, PBE
State: optimized geometry

```
data_RbTl4Pt
_cell_length_a 9.8237
_cell_length_b 4.0826
_cell_length_c 9.3017
_cell_angle_alpha 90.00
_cell_angle_beta 90.00
_cell_angle_gamma 90.00
_space_group_name_H-M_alt 'P m m a'
_space_group_IT_number 51
loop_
_space_group_symop_operation_xyz
'x,y,z'
'-x,-y,-z'
'-x+1/2,-y,z'
'x+1/2,y,-z'
'x+1/2,-y,-z'
'-x+1/2,y,z'
'-x,y,-z'
'x,-y,z'
loop_
_atom_site_label
_atom_site_fract_x
_atom_site_fract_y
_atom_site_fract_z
Rb1 0.2500 0.0000 0.0802
Tl1 0.0000 0.0000 0.5000
Tl2 0.0697 0.5000 0.7869
Tl3 0.2500 0.5000 0.4177
Pt1 0.2500 0.0000 0.6614
```

**Crystal system**: orthorhombic
**Calculated formation energy**: -121.5 meV/atom
**N(E_F)**: 4.857 states/eV/cell

***

Material: Rb6Tl3Pt
Method: DFT, PBE
State: optimized geometry

```
data_Rb6Tl3Pt
_cell_length_a 10.8319
_cell_length_b 7.5783
_cell_length_c 15.4594
_cell_angle_alpha 90.00
_cell_angle_beta 134.01
_cell_angle_gamma 90.00
_space_group_name_H-M_alt 'P 1 21/c 1'
_space_group_IT_number 14
loop_
_space_group_symop_operation_xyz
'x,y,z'
'-x,-y,-z'
'-x,y+1/2,-z+1/2'
'x,-y+1/2,z+1/2'
loop_
_atom_site_label
_atom_site_fract_x
_atom_site_fract_y
_atom_site_fract_z
Rb1 0.0776 0.2480 0.3494
Rb2 0.2226 0.1213 0.6601
Rb3 0.3836 0.5777 0.8173
Tl1 0.2408 0.6703 0.5132
Tl2 0.5000 0.0000 0.0000
Pt1 0.0000 0.0000 0.0000
```

**Crystal system**: monoclinic
**Calculated formation energy**: -31.6 meV/atom
**N(E_F)**: 13.337 states/eV/cell

***

Material: Rb2Tl4Pt
Method: DFT, PBE
State: optimized geometry

```
data_Rb2Tl4Pt
_cell_length_a 5.3809
_cell_length_b 5.3809
_cell_length_c 19.5086
_cell_angle_alpha 90.00
_cell_angle_beta 90.00
_cell_angle_gamma 90.00
_space_group_name_H-M_alt 'I 4/m m m'
_space_group_IT_number 139
_space_group_name_Hall '-I 4 2'
loop_
_atom_site_label
_atom_site_fract_x
_atom_site_fract_y
_atom_site_fract_z
Rb1 0.0000 0.0000 0.1619
Tl1 0.0000 0.0000 0.3561
Tl2 0.0000 0.5000 0.0000
Pt1 0.0000 0.0000 0.5000
```

**Crystal system**: tetragonal
**Calculated formation energy**: -24.7 meV/atom
**N(E_F)**: 10.573 states/eV/cell

***

Material: Rb5Tl2Pt
Method: DFT, PBE
State: optimized geometry

```
data_Rb5Tl2Pt
_cell_length_a 4.6372
_cell_length_b 18.9468
_cell_length_c 20.0333
_cell_angle_alpha 90.00
_cell_angle_beta 90.00
_cell_angle_gamma 90.00
_space_group_name_H-M_alt 'C m c m'
_space_group_IT_number 63
_space_group_name_Hall '-C 2c 2'
loop_
_atom_site_label
_atom_site_fract_x
_atom_site_fract_y
_atom_site_fract_z
Rb1 0.0000 0.0821 0.1392
Rb2 0.0000 0.3373 0.0476
Rb3 0.0000 0.3911 0.2500
Tl1 0.0000 0.2648 0.6678
Pt1 0.0000 0.2216 0.2500
```

**Crystal system**: orthorhombic
**Calculated formation energy**: -70.2 meV/atom
**N(E_F)**: 22.034 states/eV/cell

***

Q: Look up the N(E_F) of the fourth one.
A: 13.337 states/eV/cell

***

Q: Number 2 is which compound?
A: RbTl4Pt2

***

Q: Number 1 is which compound?
A: RbTl4Pt2